Compound: LiLuCoTe3
Source: OQMD via LeMat-Bulk
Functional: PBE
Structure: optimized geometry

Values from the calculation:
Calculated total energy   -4.541 eV/atom
Crystal system   orthorhombic
Total moment   8.14 Bohr magnetons per cell
Calculated density   6.5 g cm⁻³

Geometry as extended XYZ:
```
24
Lattice="11.068 0.000 0.000 0.000 4.076 0.000 0.000 0.000 14.022" Properties=species:S:1:pos:R:3 pbc="T T T"
Te 10.298 2.038 1.492
Te 6.397 2.038 1.467
Te 0.863 2.038 5.544
Co 2.730 0.000 10.822
Te 8.263 2.038 11.742
Te 6.303 0.000 8.503
Te 2.805 0.000 2.280
Te 2.729 2.038 9.290
Te 10.205 0.000 8.478
Lu 0.045 0.000 3.521
Co 8.338 2.038 3.200
Te 8.339 0.000 4.731
Li 2.715 2.038 12.887
Li 8.353 0.000 1.135
Li 2.819 0.000 5.876
Lu 11.023 2.038 10.501
Lu 5.579 0.000 3.490
Te 4.671 0.000 12.555
Te 4.765 2.038 5.518
Lu 5.489 2.038 10.532
Co 8.264 0.000 10.211
Li 8.249 2.038 8.146
Co 2.804 2.038 3.811
Te 0.769 0.000 12.529
```